First-principles (PBE-GGA) data for a relaxed structure of NaSrPd2, as listed in Alexandria.

Values from the calculation:
* ΔE_f: -0.12 eV per atom
* total magnetization: 0.00 μB per formula unit
* total DFT energy (no corrections): -27.8 eV for the cell shown
* SG: I-42d (122)

a b c (Å): 7.9241 7.9241 6.3392
angles (deg): 51.32 51.32 90.00
Atoms (fractional coordinates):
Sr1 0.0000 0.0000 0.0000
Sr2 0.7500 0.2500 0.5000
Pd1 0.6102 0.1250 0.2500
Pd2 0.1398 0.6250 0.2500
Pd3 0.3750 0.3898 0.7500
Pd4 0.8750 0.8602 0.7500
Na1 0.5000 0.5000 0.0000
Na2 0.2500 0.7500 0.5000

First-principles (PBE-GGA) data for a relaxed structure of NaSr5Pd2, as listed in Alexandria.

Values from the calculation:
* ΔE_f: -0.34 eV per atom
* total magnetization: 0.00 μB per formula unit
* total DFT energy (no corrections): -22.8 eV for the cell shown
* SG: Immm (71)

a b c (Å): 4.6486 8.0856 9.5871
angles (deg): 114.94 104.03 90.00
Atoms (fractional coordinates):
Na1 0.0000 0.0000 0.0000
Sr1 0.0000 0.5000 0.0000
Sr2 0.6582 0.4074 0.3164
Sr3 0.3418 0.5926 0.6836
Sr4 0.6582 0.9090 0.3164
Sr5 0.3418 0.0910 0.6836
Pd1 0.1887 0.6887 0.3774
Pd2 0.8113 0.3113 0.6226

First-principles (PBE-GGA) data for a relaxed structure of Na2Sr3Pd7, as listed in Alexandria.

Values from the calculation:
* ΔE_f: -0.43 eV per atom
* total magnetization: 0.00 μB per formula unit
* total DFT energy (no corrections): -49.2 eV for the cell shown
* SG: R-3m (166)

a b c (Å): 5.6904 5.6904 9.6547
angles (deg): 72.86 72.86 60.00
Atoms (fractional coordinates):
Na1 0.6654 0.6654 0.0037
Na2 0.3346 0.3346 0.9963
Sr1 0.0000 0.0000 0.0000
Sr2 0.8602 0.8602 0.4193
Sr3 0.1398 0.1398 0.5807
Pd1 0.5000 0.5000 0.5000
Pd2 0.9182 0.4121 0.2576
Pd3 0.4121 0.9182 0.2576
Pd4 0.4121 0.4121 0.2576
Pd5 0.0818 0.5879 0.7424
Pd6 0.5879 0.5879 0.7424
Pd7 0.5879 0.0818 0.7424

Copy entry 3 word for word.
First-principles (PBE-GGA) data for a relaxed structure of Na2Sr3Pd7, as listed in Alexandria.

Values from the calculation:
* ΔE_f: -0.43 eV per atom
* total magnetization: 0.00 μB per formula unit
* total DFT energy (no corrections): -49.2 eV for the cell shown
* SG: R-3m (166)

a b c (Å): 5.6904 5.6904 9.6547
angles (deg): 72.86 72.86 60.00
Atoms (fractional coordinates):
Na1 0.6654 0.6654 0.0037
Na2 0.3346 0.3346 0.9963
Sr1 0.0000 0.0000 0.0000
Sr2 0.8602 0.8602 0.4193
Sr3 0.1398 0.1398 0.5807
Pd1 0.5000 0.5000 0.5000
Pd2 0.9182 0.4121 0.2576
Pd3 0.4121 0.9182 0.2576
Pd4 0.4121 0.4121 0.2576
Pd5 0.0818 0.5879 0.7424
Pd6 0.5879 0.5879 0.7424
Pd7 0.5879 0.0818 0.7424

Q: What is the total magnetization in the first record?
A: 0.00 μB per formula unit

Please write out number 1 again, unchanged.
First-principles (PBE-GGA) data for a relaxed structure of NaSrPd2, as listed in Alexandria.

Values from the calculation:
* ΔE_f: -0.12 eV per atom
* total magnetization: 0.00 μB per formula unit
* total DFT energy (no corrections): -27.8 eV for the cell shown
* SG: I-42d (122)

a b c (Å): 7.9241 7.9241 6.3392
angles (deg): 51.32 51.32 90.00
Atoms (fractional coordinates):
Sr1 0.0000 0.0000 0.0000
Sr2 0.7500 0.2500 0.5000
Pd1 0.6102 0.1250 0.2500
Pd2 0.1398 0.6250 0.2500
Pd3 0.3750 0.3898 0.7500
Pd4 0.8750 0.8602 0.7500
Na1 0.5000 0.5000 0.0000
Na2 0.2500 0.7500 0.5000

Q: The highest ΔE_f belongs to which entry?
A: NaSrPd2